VASP calculation (PBE-GGA) on an optimized crystal structure of CaTb3Pr7.

```
CaTb3Pr7
1.0
-6.036 -5.616 -3.129
-0.823 -2.838 6.681
-4.146 5.632 -2.112
Ca Pr Tb
1 7 3
Cartesian
-5.720 0.314 -0.571 Ca
-4.648 2.215 2.395 Pr
-3.728 -2.573 0.458 Pr
-2.687 -0.719 3.358 Pr
-2.127 0.797 0.077 Pr
-4.230 3.655 -0.995 Pr
-6.197 -1.184 2.728 Pr
-4.137 -3.983 3.778 Pr
-5.184 -5.822 0.883 Tb
-7.634 -4.443 3.137 Tb
-7.229 -3.043 -0.159 Tb
```

Results
**Electronic total energy**: -4.2832 eV per atom
**SG**: P3m1
**ΔE_f**: 203 meV per atom
**DOS(E_F)**: 16.2 states/eV per cell

---

VASP calculation (PBE-GGA) on an optimized crystal structure of LiCoSb2.

```
LiCoSb2
1.0
-5.315 -0.199 -1.671
-1.601 -3.705 -3.847
2.897 0.114 4.762
Co Sb Li
1 2 1
Cartesian
-3.458 -1.952 -2.759 Co
-1.081 -2.771 -0.922 Sb
0.000 0.000 0.000 Sb
-2.938 -1.019 0.166 Li
```

Results
**Electronic total energy**: -4.2273 eV per atom
**Polymorph energy (0 for the lowest one)**: 241.9 meV per atom
**SG**: I-4m2
**DOS(E_F)**: 4.8 states/eV per cell

---

VASP calculation (PBE-GGA) on an optimized crystal structure of ZrZn5.

```
ZrZn5
1.0
5.050 3.862 -4.379
-6.396 -1.115 4.176
2.086 1.284 3.538
Zr Zn
1 5
Cartesian
4.803 3.943 -1.646 Zr
1.033 2.304 1.172 Zn
-2.729 0.480 1.435 Zn
-2.897 0.595 4.109 Zn
-6.248 -1.050 4.065 Zn
1.313 2.237 -1.586 Zn
```

Results
**Electronic total energy**: -2.5218 eV per atom
**SG**: Amm2
**ΔE_f**: -36 meV per atom
**DOS(E_F)**: 3.4 states/eV per cell

---

VASP calculation (PBE-GGA) on an optimized crystal structure of KGe6Se8.

```
KGe6Se8
1.0
-4.979 4.157 -3.859
-6.008 -2.370 3.906
0.052 5.774 4.860
Ge Se K
6 8 1
Cartesian
-5.479 6.433 3.056 Ge
-5.457 1.127 1.850 Ge
-6.835 3.361 4.768 Ge
-7.869 4.160 1.232 Ge
-3.066 3.400 3.675 Ge
-4.100 4.200 0.139 Ge
-3.158 2.183 1.417 Se
-5.821 6.583 0.487 Se
-5.114 0.978 4.420 Se
-6.135 2.891 -0.804 Se
-8.298 1.829 2.292 Se
-4.800 4.669 5.711 Se
-2.637 5.732 2.615 Se
-7.778 5.377 3.490 Se
0.000 0.000 0.000 K
```

Results
**Electronic total energy**: -4.0276 eV per atom
**SG**: R-3
**DOS(E_F)**: 6.1 states/eV per cell

---

VASP calculation (PBE-GGA) on an optimized crystal structure of Sc4GaHgO.

```
Sc4GaHgO
1.0
6.074 0.000 0.000
0.000 6.075 0.000
-3.037 0.000 7.332
Ga Hg Sc O
2 2 8 2
Cartesian
0.000 1.519 1.701 Ga
3.037 4.556 5.632 Ga
0.000 1.519 5.692 Hg
3.037 4.556 1.640 Hg
3.037 1.519 1.190 Sc
3.037 1.519 6.186 Sc
0.000 4.556 6.143 Sc
1.519 0.000 3.666 Sc
1.519 3.038 3.666 Sc
-1.519 0.000 3.666 Sc
0.000 4.556 1.146 Sc
-1.519 3.038 3.666 Sc
3.037 1.519 3.660 O
0.000 4.556 3.672 O
```

Results
**Electronic total energy**: -5.9521 eV per atom
**SG**: Cmcm
**DOS(E_F)**: 8.8 states/eV per cell

---

VASP calculation (PBE-GGA) on an optimized crystal structure of KTc4Ni.

```
KTc4Ni
1.0
0.000 3.714 3.714
3.714 0.000 3.714
3.714 3.714 0.000
Tc Ni K
4 1 1
Cartesian
2.780 2.780 2.780 Tc
4.647 4.647 2.780 Tc
2.780 4.647 4.647 Tc
4.647 2.780 4.647 Tc
0.000 0.000 0.000 Ni
5.570 5.570 5.570 K
```

Results
**Electronic total energy**: -6.9711 eV per atom
**SG**: F-43m
**ΔE_f**: 1086 meV per atom
**DOS(E_F)**: 9.5 states/eV per cell

---

VASP calculation (PBE-GGA) on an optimized crystal structure of PmHoSi2Au2.

```
PmHoSi2Au2
1.0
-2.900 1.863 -2.580
3.263 -2.241 -1.694
-4.436 -6.616 0.209
Si Pm Au Ho
2 1 2 1
Cartesian
-1.955 -1.159 -2.232 Si
-2.118 -5.835 -1.832 Si
0.000 0.000 0.000 Pm
0.026 -2.637 -1.933 Au
-4.099 -4.357 -2.131 Au
-2.218 -3.308 0.105 Ho
```

Results
**Electronic total energy**: -5.2684 eV per atom
**SG**: P-3m1
**DOS(E_F)**: 2.7 states/eV per cell

---

VASP calculation (PBE-GGA) on an optimized crystal structure of TlSb2.

```
TlSb2
1.0
6.003 -0.003 -0.005
2.098 5.624 0.005
-2.929 -4.427 2.802
Sb Tl
2 1
Cartesian
5.222 3.623 0.000 Sb
2.879 1.997 0.000 Sb
0.000 0.000 0.000 Tl
```

Results
**Electronic total energy**: -3.3765 eV per atom
**SG**: Immm
**DOS(E_F)**: 1.7 states/eV per cell

---

VASP calculation (PBE-GGA) on an optimized crystal structure of BeTcPt3.

```
BeTcPt3
1.0
-1.746 -1.232 3.677
-2.816 -2.370 -2.131
2.667 -3.309 0.157
Pt Tc Be
3 1 1
Cartesian
-1.408 -1.185 -1.066 Pt
-0.873 -0.616 1.839 Pt
1.334 -1.655 0.079 Pt
-0.947 -3.456 0.852 Tc
0.000 0.000 0.000 Be
```

Results
**Electronic total energy**: -6.1704 eV per atom
**Polymorph energy (0 for the lowest one)**: 0.0 meV per atom
**SG**: Pm-3m
**ΔE_f**: 273 meV per atom
**DOS(E_F)**: 4.0 states/eV per cell

---

VASP calculation (PBE-GGA) on an optimized crystal structure of Er2Tm3Si4.

```
Er2Tm3Si4
1.0
-1.172 6.624 -3.555
-6.724 -2.147 -1.784
-4.590 2.190 5.594
Si Er Tm
8 4 6
Cartesian
-5.316 2.818 0.855 Si
-4.106 6.613 -0.614 Si
-1.784 3.011 -1.459 Si
-4.629 -0.981 -0.784 Si
-8.379 0.054 0.870 Si
-10.702 3.655 1.715 Si
-7.856 7.648 1.040 Si
-7.169 3.849 -0.599 Si
-4.510 4.038 -2.062 Er
-7.976 2.629 2.318 Er
-8.036 3.892 -3.451 Er
-4.450 2.775 3.707 Er
-5.960 5.624 1.359 Tm
-6.526 1.042 -1.103 Tm
-9.484 5.467 -0.024 Tm
-3.002 1.199 0.280 Tm
-5.657 0.022 1.905 Tm
-2.881 4.407 1.020 Tm
```

Results
**Electronic total energy**: -5.6653 eV per atom
**SG**: P2_1/c
**DOS(E_F)**: 15.0 states/eV per cell

---

VASP calculation (PBE-GGA) on an optimized crystal structure of YTaB3.

```
YTaB3
1.0
-0.597 0.445 4.194
3.176 -2.740 0.743
2.776 3.231 0.052
Y Ta B
1 1 3
Cartesian
2.677 0.468 2.495 Y
0.000 0.000 0.000 Ta
1.388 1.615 0.026 B
-0.299 0.222 2.097 B
1.588 -1.370 0.371 B
```

Results
**Electronic total energy**: -7.2965 eV per atom
**Polymorph energy (0 for the lowest one)**: 0.0 meV per atom
**SG**: Pm-3m
**ΔE_f**: 373 meV per atom
**DOS(E_F)**: 1.5 states/eV per cell

---

VASP calculation (PBE-GGA) on an optimized crystal structure of SmHoErHg.

```
SmHoErHg
1.0
5.417 0.000 0.000
2.709 4.691 0.000
2.709 1.564 4.423
Er Sm Hg Ho
1 1 1 1
Cartesian
5.417 3.128 2.212 Er
8.126 4.691 3.317 Sm
0.000 0.000 0.000 Hg
2.709 1.564 1.106 Ho
```

Results
**Electronic total energy**: -3.5968 eV per atom
**SG**: F-43m
**ΔE_f**: -56 meV per atom
**DOS(E_F)**: 5.2 states/eV per cell

---

VASP calculation (PBE-GGA) on an optimized crystal structure of CeHo2F8.

```
CeHo2F8
1.0
4.239 -0.035 -0.053
-0.749 6.211 -0.066
-0.749 -2.453 5.707
F Ce Ho
8 1 2
Cartesian
2.718 4.183 3.751 F
1.370 -0.322 4.249 F
0.022 -0.460 1.836 F
0.307 2.309 3.465 F
1.370 4.045 1.339 F
0.022 1.872 0.283 F
2.718 1.851 5.305 F
2.434 1.414 2.123 F
2.119 -0.018 -0.027 Ce
-0.749 0.332 3.852 Ho
-0.749 3.427 1.789 Ho
```

Results
**Electronic total energy**: -6.6073 eV per atom
**SG**: C2/m
**DOS(E_F)**: 10.6 states/eV per cell

---

VASP calculation (PBE-GGA) on an optimized crystal structure of Al2AuBr.

```
Al2AuBr
1.0
6.364 0.000 0.000
0.000 6.364 0.000
3.182 3.182 5.620
Al Au Br
4 2 2
Cartesian
4.773 4.433 4.215 Al
7.955 8.295 4.215 Al
1.251 4.773 1.405 Al
5.113 1.591 1.405 Al
6.364 3.182 2.810 Au
0.000 0.000 0.000 Au
3.182 3.182 0.000 Br
3.182 6.364 2.810 Br
```

Results
**Electronic total energy**: -3.1952 eV per atom
**Polymorph energy (0 for the lowest one)**: 268.9 meV per atom
**SG**: I-42d
**DOS(E_F)**: 0.2 states/eV per cell

---

VASP calculation (PBE-GGA) on an optimized crystal structure of PmNdSe2Cl.

```
PmNdSe2Cl
1.0
-3.361 -0.057 2.559
2.537 -0.626 3.319
1.126 14.056 1.793
Nd Pm Se Cl
2 2 4 2
Cartesian
2.291 12.446 3.287 Nd
-1.577 1.268 1.445 Nd
1.670 4.699 2.299 Pm
-0.956 9.016 2.433 Pm
-0.694 12.292 2.850 Se
1.408 1.423 1.881 Se
-1.341 4.214 1.820 Se
2.055 9.501 2.911 Se
0.563 7.028 0.896 Cl
0.151 6.686 3.835 Cl
```

Results
**Electronic total energy**: -5.5729 eV per atom
**SG**: P4/nmm
**DOS(E_F)**: 2.9 states/eV per cell

---

VASP calculation (PBE-GGA) on an optimized crystal structure of CaTaCd2B.

```
CaTaCd2B
1.0
4.553 0.000 0.000
0.000 5.003 0.000
0.000 0.000 4.553
Cd Ta Ca B
2 1 1 1
Cartesian
2.276 0.000 0.000 Cd
0.000 0.000 2.276 Cd
2.276 2.501 2.276 Ta
0.000 2.501 0.000 Ca
0.000 0.000 0.000 B
```

Results
**Electronic total energy**: -3.4718 eV per atom
**SG**: P4/mmm
**ΔE_f**: 1001 meV per atom
**DOS(E_F)**: 2.7 states/eV per cell

---

VASP calculation (PBE-GGA) on an optimized crystal structure of Cs2TcNiI6.

```
Cs2TcNiI6
1.0
8.092 0.000 0.000
0.000 8.092 0.000
4.046 4.046 5.717
Cs I Ni Tc
2 6 1 1
Cartesian
4.046 8.092 2.859 Cs
8.092 4.046 2.859 Cs
2.036 6.056 0.000 I
2.036 2.036 0.000 I
8.092 8.092 2.926 I
6.056 2.036 0.000 I
6.056 6.056 0.000 I
4.046 4.046 2.791 I
4.046 4.046 0.000 Ni
0.000 0.000 0.000 Tc
```

Results
**Electronic total energy**: -3.2400 eV per atom
**SG**: I4/mmm
**DOS(E_F)**: 1.3 states/eV per cell

---

VASP calculation (PBE-GGA) on an optimized crystal structure of MgSi2Hg2.

```
MgSi2Hg2
1.0
-1.871 -3.683 -1.753
3.190 -2.523 1.896
-2.461 -3.663 4.578
Hg Si Mg
2 2 1
Cartesian
-1.837 -5.224 1.448 Hg
0.694 -4.645 3.273 Hg
0.006 -3.220 1.015 Si
-1.149 -6.649 3.706 Si
0.000 0.000 0.000 Mg
```

Results
**Electronic total energy**: -2.2695 eV per atom
**Polymorph energy (0 for the lowest one)**: 173.7 meV per atom
**SG**: I4/mmm
**DOS(E_F)**: 2.0 states/eV per cell

---

VASP calculation (PBE-GGA) on an optimized crystal structure of Nb2CdCoSi.

```
Nb2CdCoSi
1.0
-3.084 -2.289 -2.661
2.896 -0.343 -3.061
1.441 -4.056 1.818
Co Nb Si Cd
1 2 1 1
Cartesian
0.000 0.000 0.000 Co
0.720 -2.028 0.909 Nb
-1.542 -1.144 -1.330 Nb
1.448 -0.172 -1.531 Si
0.626 -3.344 -1.952 Cd
```

Results
**Electronic total energy**: -6.3055 eV per atom
**SG**: P4/mmm
**DOS(E_F)**: 3.4 states/eV per cell

---

VASP calculation (PBE-GGA) on an optimized crystal structure of PPbS2N.

```
PPbS2N
1.0
-0.378 0.460 5.040
2.044 -4.610 0.574
3.110 1.392 0.106
Pb P S N
1 1 2 1
Cartesian
2.388 -1.379 2.860 Pb
0.000 0.000 0.000 P
1.022 -2.305 0.287 S
-0.189 0.230 2.520 S
1.555 0.696 0.053 N
```

Results
**Electronic total energy**: -4.8046 eV per atom
**Polymorph energy (0 for the lowest one)**: 0.0 meV per atom
**SG**: P4/mmm
**DOS(E_F)**: 3.7 states/eV per cell

---

VASP calculation (PBE-GGA) on an optimized crystal structure of LiAl2SbS6.

```
LiAl2SbS6
1.0
6.360 -0.325 -0.338
1.610 8.081 0.261
1.610 -0.039 8.085
S Al Sb Li
12 4 2 2
Cartesian
5.091 0.712 4.945 S
3.653 7.822 6.619 S
2.748 1.555 0.116 S
6.833 6.162 7.893 S
7.669 2.639 6.945 S
4.524 4.360 5.824 S
7.704 5.496 4.404 S
1.876 2.221 3.605 S
1.911 5.078 1.064 S
5.056 3.357 2.184 S
4.490 7.005 3.063 S
5.928 -0.105 1.389 S
5.981 1.466 3.033 Al
6.779 4.577 6.262 Al
2.802 3.139 1.746 Al
3.599 6.251 4.975 Al
6.380 5.766 2.003 Sb
3.200 1.951 6.005 Sb
3.200 7.304 0.846 Li
6.380 0.412 7.162 Li
```

Results
**Electronic total energy**: -4.4943 eV per atom
**SG**: C2/c
**DOS(E_F)**: 2.4 states/eV per cell

---

VASP calculation (PBE-GGA) on an optimized crystal structure of AlCd6Hg12.

```
AlCd6Hg12
1.0
-1.880 7.704 0.705
-6.993 -2.439 -2.921
-1.359 -2.025 7.579
Al Cd Hg
1 6 12
Cartesian
0.000 0.000 0.000 Al
-3.100 2.704 2.914 Cd
-4.067 -0.410 2.950 Cd
-4.797 1.494 0.406 Cd
-5.435 1.746 4.956 Cd
-7.132 0.536 2.449 Cd
-6.165 3.650 2.412 Cd
-7.733 2.383 0.033 Hg
-3.945 -1.999 6.663 Hg
-3.906 4.463 0.468 Hg
-4.497 4.716 4.798 Hg
-7.783 -0.044 -1.840 Hg
-6.287 5.239 -1.301 Hg
-2.499 0.857 5.330 Hg
-7.114 -3.504 2.405 Hg
-3.118 6.745 2.958 Hg
-2.450 3.285 7.203 Hg
-5.735 -1.475 0.565 Hg
-6.327 -1.222 4.895 Hg
```

Results
**Electronic total energy**: -0.6143 eV per atom
**SG**: R-3
**ΔE_f**: 62 meV per atom
**DOS(E_F)**: 5.3 states/eV per cell

---

VASP calculation (PBE-GGA) on an optimized crystal structure of BaGaAu3.

```
BaGaAu3
1.0
-1.727 -5.812 1.094
5.803 -1.886 -0.855
1.141 0.790 6.003
Au Ba Ga
3 1 1
Cartesian
-0.864 -2.906 0.547 Au
2.901 -0.943 -0.428 Au
0.571 0.395 3.001 Au
0.000 0.000 0.000 Ba
2.608 -3.454 3.121 Ga
```

Results
**Electronic total energy**: -2.5074 eV per atom
**SG**: Pm-3m
**ΔE_f**: 449 meV per atom
**DOS(E_F)**: 0.0 states/eV per cell

---

VASP calculation (PBE-GGA) on an optimized crystal structure of Dy2Y5Sb4.

```
Dy2Y5Sb4
1.0
-2.863 2.796 0.460
-3.209 -2.338 -5.757
-1.934 -7.028 13.024
Sb Y Dy
4 5 2
Cartesian
-1.375 -1.190 -1.326 Sb
-6.631 -5.380 9.054 Sb
-2.658 -4.021 7.888 Sb
-5.349 -2.549 -0.161 Sb
-1.432 1.398 0.230 Y
-3.455 -3.105 -2.632 Y
-2.486 -2.714 1.019 Y
-4.551 -3.465 10.360 Y
-5.520 -3.857 6.708 Y
-5.623 -3.333 2.890 Dy
-2.383 -3.237 4.837 Dy
```

Results
**Electronic total energy**: -5.7742 eV per atom
**SG**: C2/m
**DOS(E_F)**: 11.7 states/eV per cell